(1)
The following is a DFT calculation (PBE) of an optimized crystal structure of Dy2Ga2Au3.

Structure (POSCAR):
```
Dy2Ga2Au3
1.0
5.255 -2.062 0.000
5.255 2.062 0.000
-2.939 0.000 6.585
Dy Ga Au
2 2 3
direct
0.134 0.134 0.267
0.866 0.866 0.733
0.154 0.154 0.705
0.846 0.846 0.295
0.383 0.383 0.061
0.500 0.500 0.500
0.617 0.617 0.939
```

Total moment: 0.00 μB/cell
Space-group type: C2/m
E_tot: -4.284 eV/atom
V: 20.39 Å³/atom
ΔH_f (0 K): -0.6997 eV/atom
Crystal system: monoclinic

(2)
The following is a DFT calculation (PBE) of an optimized crystal structure of Ba6Pt2AuBr3.

Structure (POSCAR):
```
Ba6Pt2AuBr3
1.0
3.992 -6.915 0.000
3.992 6.915 0.000
-2.665 0.000 8.373
Ba Pt Au Br
6 2 1 3
direct
0.081 0.428 0.785
0.225 0.225 0.215
0.428 0.081 0.785
0.572 0.919 0.215
0.775 0.775 0.785
0.919 0.572 0.215
0.167 0.833 0.000
0.833 0.167 0.000
0.500 0.500 0.000
0.000 0.000 0.500
0.334 0.666 0.500
0.666 0.334 0.500
```

Total moment: 0.00 μB/cell
Space-group type: C2/m
E_tot: -3.915 eV/atom
V: 38.53 Å³/atom
Crystal system: monoclinic
Raw formation energy: -1.255 eV/atom

(3)
The following is a DFT calculation (PBE) of an optimized crystal structure of NdDy6Er3Sc2.

Structure (POSCAR):
```
NdDy6Er3Sc2
1.0
3.030 -5.243 0.000
3.030 5.243 0.000
-2.009 0.000 11.420
Nd Dy Er Sc
1 6 3 2
direct
0.000 0.000 0.000
0.083 0.419 0.248
0.253 0.253 0.752
0.419 0.083 0.248
0.581 0.917 0.752
0.747 0.747 0.248
0.917 0.581 0.752
0.167 0.833 0.500
0.500 0.500 0.500
0.833 0.167 0.500
0.333 0.667 0.000
0.667 0.333 0.000
```

Total moment: 0.00 μB/cell
Space-group type: C2/m
E_tot: -4.858 eV/atom
V: 30.24 Å³/atom
ΔH_f (0 K): 0.0365 eV/atom
Crystal system: monoclinic

(4)
The following is a DFT calculation (PBE) of an optimized crystal structure of La3Ag2.

Structure (POSCAR):
```
La3Ag2
1.0
4.663 2.692 3.831
-4.663 2.692 3.831
0.000 -5.385 3.831
La Ag
6 4
direct
0.080 0.750 0.420
0.250 0.580 0.920
0.420 0.080 0.750
0.580 0.920 0.250
0.750 0.420 0.080
0.920 0.250 0.580
0.125 0.125 0.125
0.375 0.375 0.375
0.625 0.625 0.625
0.875 0.875 0.875
```

Total moment: 0.00 μB/cell
Space-group type: R-3c
E_tot: -4.204 eV/atom
V: 28.86 Å³/atom
ΔH_f (0 K): -0.1073 eV/atom
Crystal system: trigonal

> What is the V in the third record?

30.24 Å³/atom

> Among the records above, which one has the highest E_tot?

Ba6Pt2AuBr3

> Which value of total moment does entry 3 give?

0.00 μB/cell